# 1
Computed, not measured: a relaxed structure of ScInCo2 at the PBE level of DFT.

Cell lengths 3.7909, 3.7552, 9.3144 Å; angles 90.00, 90.00, 90.00 degrees
Space group Amm2 (No. 38)
Symmetry-distinct sites (fractional):
1 Sc 0.0000 0.0000 0.0000
2 In 0.5000 0.0000 0.2982
3 Co 0.0000 0.0000 0.7075
4 Co 0.5000 0.0000 0.5825

Results
- VASP energy: -5.9426 eV per atom
- V: 16.6 Å³ per atom
- Formation enthalpy at 0 K: -122 meV/atom

---

# 2
Computed, not measured: a relaxed structure of ScIn2Co at the PBE level of DFT.

Cell lengths 3.2309, 4.4859, 5.6040 Å; angles 90.00, 103.82, 90.00 degrees
Space group P2/m (No. 10)
Symmetry-distinct sites (fractional):
1 Sc 0.0000 0.0000 0.0000
2 In 0.3610 0.5000 0.7310
3 Co 0.5000 0.0000 0.5000

Results
- VASP energy: -4.7467 eV per atom
- V: 19.7 Å³ per atom
- Formation enthalpy at 0 K: -18 meV/atom

---

# 3
Computed, not measured: a relaxed structure of Sc4InCo at the PBE level of DFT.

Cell lengths 8.2765, 12.2060, 5.4934 Å; angles 90.00, 107.97, 90.00 degrees
Space group C2/c (No. 15)
Symmetry-distinct sites (fractional):
1 Sc 0.1100 0.1620 0.0530
2 Sc 0.2223 0.4230 0.3727
3 In 0.0000 0.3720 0.7500
4 Co 0.0000 0.0005 0.2500

Results
- VASP energy: -6.1672 eV per atom
- Energy above the lowest structure with this stoichiometry: 0 meV/atom
- V: 22.0 Å³ per atom
- Formation enthalpy at 0 K: -305 meV/atom

---

# 4
Computed, not measured: a relaxed structure of ScInCo2 at the PBE level of DFT.

Cell lengths 3.0410, 3.0410, 7.0108 Å; angles 90.00, 90.00, 90.00 degrees
Space group P4mm (No. 99)
Symmetry-distinct sites (fractional):
1 Sc 0.0000 0.0000 0.0000
2 In 0.5000 0.5000 0.6560
3 Co 0.0000 0.0000 0.4026
4 Co 0.5000 0.5000 0.2422

Results
- VASP energy: -5.9035 eV per atom
- V: 16.2 Å³ per atom
- Formation enthalpy at 0 K: -83 meV/atom

---

# 5
Computed, not measured: a relaxed structure of Sc5InCo4 at the PBE level of DFT.

Cell lengths 3.1279, 3.1279, 17.2330 Å; angles 90.00, 90.00, 90.00 degrees
Space group P4/mmm (No. 123)
Symmetry-distinct sites (fractional):
1 Sc 0.0000 0.0000 0.0000
2 Sc 0.0000 0.0000 0.1814
3 Sc 0.0000 0.0000 0.3623
4 In 0.5000 0.5000 0.5000
5 Co 0.5000 0.5000 0.0906
6 Co 0.5000 0.5000 0.2759

Results
- VASP energy: -6.6568 eV per atom
- V: 16.9 Å³ per atom
- Formation enthalpy at 0 K: -375 meV/atom

---

# 6
Computed, not measured: a relaxed structure of Sc4InCo at the PBE level of DFT.

Cell lengths 8.0302, 8.0302, 8.0302 Å; angles 90.00, 90.00, 90.00 degrees
Space group F-43m (No. 216)
Symmetry-distinct sites (fractional):
1 Sc 0.1244 0.1244 0.1244
2 In 0.0000 0.0000 0.5000
3 Co 0.2500 0.2500 0.7500

Results
- VASP energy: -5.4632 eV per atom
- Energy above the lowest structure with this stoichiometry: 704 meV/atom
- V: 21.6 Å³ per atom
- Formation enthalpy at 0 K: 399 meV/atom

---

> Number 4 is which compound?

ScInCo2

---

> What is the formula in the second record?

ScIn2Co